# Sr2NiPdO4 GGA+U optimized geometry
# M_tot, μB per formula unit: 2.01
# Raw total energy, eV/atom: -5.46
data_Sr2NiPdO4
_cell_length_a 5.069
_cell_length_b 5.322
_cell_length_c 5.464
_cell_angle_alpha 106.52
_cell_angle_beta 108.96
_cell_angle_gamma 109.12
_symmetry_space_group_name_H-M 'P 1'
_symmetry_Int_Tables_number 1
_symmetry_space_group_name_Hall 'P 1'
loop_
_atom_site_label
_atom_site_fract_x
_atom_site_fract_y
_atom_site_fract_z
Sr1 0.000 0.000 0.000
Sr2 0.481 0.734 0.268
Ni1 0.963 0.464 0.509
Pd1 0.483 0.229 0.753
O1 0.032 0.872 0.533
O2 0.341 0.425 0.496
O3 0.610 0.133 0.107
O4 0.953 0.492 0.880